The following is a PBE calculation of an optimized crystal structure of YScSe3, from Alexandria via LeMat-Bulk.

Calculated values
Formation energy from raw total energies (kcal/mol of atoms): -39.1
Total energy (eV per atom): -6.35
D(E_F) (states/eV per cell): 0.0

Unit cell a=8.9684 b=8.9684 c=6.8328 alpha=96.51 beta=96.51 gamma=81.50
Closest atoms and distances in Å follow each position.
Atoms (fractional coordinates):
Y 0.1471 0.3293 0.3206  6 Se 2.78-3.10
Y 0.3293 0.1471 0.8206  6 Se 2.78-3.10
Y 0.6707 0.8529 0.1794  6 Se 2.78-3.10
Y 0.8529 0.6707 0.6794  6 Se 2.78-3.10
Sc 0.2285 0.7715 0.2500  4 Se 2.61-2.72
Sc 0.4158 0.5842 0.7500  6 Se 2.68-2.74
Sc 0.5842 0.4158 0.2500  6 Se 2.68-2.74
Sc 0.7715 0.2285 0.7500  4 Se 2.61-2.72
Se 0.0388 0.2067 0.9485  1 Sc 2.61, 2 Y 2.78-2.80
Se 0.1449 0.6259 0.5394  2 Sc 2.68-2.72, 2 Y 2.85-2.90
Se 0.2067 0.0388 0.4485  1 Sc 2.61, 2 Y 2.78-2.80
Se 0.3067 0.4673 0.0493  3 Sc 2.71-2.94, 1 Y 2.94
Se 0.3741 0.8551 0.9606  2 Sc 2.68-2.72, 2 Y 2.85-2.90
Se 0.4673 0.3067 0.5493  3 Sc 2.71-2.94, 1 Y 2.94
Se 0.5327 0.6933 0.4507  3 Sc 2.71-2.94, 1 Y 2.94
Se 0.6259 0.1449 0.0394  2 Sc 2.68-2.72, 2 Y 2.85-2.90
Se 0.6933 0.5327 0.9507  3 Sc 2.71-2.94, 1 Y 2.94
Se 0.7933 0.9612 0.5515  1 Sc 2.61, 2 Y 2.78-2.80
Se 0.8551 0.3741 0.4606  2 Sc 2.68-2.72, 2 Y 2.85-2.90
Se 0.9612 0.7933 0.0515  1 Sc 2.61, 2 Y 2.78-2.80